# 1
A relaxed Pm2Dy3Y5 crystal, computed with PBE-GGA.

Computed properties:
**Calculated formation energy**: 415 meV per atom
**Energy above the lowest structure with this stoichiometry**: 229 meV/atom
**Size of the total moment**: 0.000 μB per atom

The structure in extended XYZ format:
```
20
Lattice="-3.073 -4.649 -3.946 -6.341 -7.353 7.692 -11.706 -0.668 3.994" Properties=species:S:1:pos:R:3 pbc="T T T"
Pm -16.779 -6.946 9.433
Pm -4.340 -5.724 -1.692
Pm -17.242 -10.608 8.199
Pm -3.877 -2.062 -0.459
Dy -0.768 -1.162 -0.987
Dy -2.305 -3.487 -2.960
Dy -13.752 -5.079 4.876
Dy -7.368 -7.590 2.864
Dy -12.604 -10.748 4.753
Dy -8.516 -1.922 2.987
Y -9.792 -5.173 4.857
Y -11.328 -7.497 2.884
Y -15.117 -8.350 6.839
Y -4.466 -1.995 2.874
Y -6.002 -4.319 0.901
Y -16.653 -10.675 4.866
Y -6.620 -4.183 4.175
Y -14.499 -8.487 3.565
Y -9.127 -5.299 1.533
Y -11.993 -7.371 6.207
```

=====

# 2
A relaxed Pm4DyY3 crystal, computed with PBE-GGA.

Computed properties:
**Calculated formation energy**: 166 meV per atom
**Energy above the lowest structure with this stoichiometry**: 145 meV/atom
**Size of the total moment**: 0.000 μB per atom

The structure in extended XYZ format:
```
8
Lattice="3.465 0.000 -0.437 -0.174 6.678 -1.380 -0.255 -0.967 11.927" Properties=species:S:1:pos:R:3 pbc="T T T"
Y -0.087 3.339 -0.690
Y 0.211 5.648 1.672
Y 2.825 0.063 8.439
Dy 1.733 0.000 -0.219
Pm 2.401 1.128 5.081
Pm 0.635 4.583 5.030
Pm 0.302 2.223 2.392
Pm 2.734 3.488 7.719
```

=====

# 3
A relaxed Pm5Dy12Y crystal, computed with PBE-GGA.

Computed properties:
**Calculated formation energy**: 17 meV per atom
**Size of the total moment**: 0.000 μB per atom

The structure in extended XYZ format:
```
18
Lattice="10.718 0.001 0.006 5.359 9.214 -1.137 -0.003 -1.312 6.046" Properties=species:S:1:pos:R:3 pbc="T T T"
Pm 5.357 -0.655 3.026
Pm 5.358 5.493 2.264
Pm 10.716 2.410 2.651
Pm 10.719 6.143 -0.753
Pm 5.355 1.760 5.668
Dy 8.924 -0.655 3.028
Dy 7.149 8.558 1.887
Dy 7.155 -1.311 6.050
Dy 8.918 9.214 -1.135
Dy 7.152 6.149 -0.752
Dy 14.285 6.150 -0.748
Dy 1.789 1.753 5.664
Dy 8.921 1.754 5.668
Dy 7.156 2.416 2.647
Dy 12.517 5.488 2.271
Dy 3.557 2.415 2.645
Dy 8.917 5.487 2.269
Y 0.000 0.000 0.000
```

=====

# 4
A relaxed Pm4Dy3Y5 crystal, computed with PBE-GGA.

Computed properties:
**Calculated formation energy**: 16 meV per atom
**Energy above the lowest structure with this stoichiometry**: 0 meV/atom
**Size of the total moment**: 0.000 μB per atom

The structure in extended XYZ format:
```
12
Lattice="-5.922 0.665 4.004 4.508 -9.309 -4.689 -1.132 8.349 9.824" Properties=species:S:1:pos:R:3 pbc="T T T"
Pm -2.428 -1.596 6.304
Pm -2.879 1.303 8.395
Pm 0.332 -1.598 0.745
Pm -0.119 1.301 2.836
Dy -3.075 1.636 4.824
Dy -0.566 4.174 4.912
Dy 0.528 -1.932 4.316
Y 0.083 0.983 6.393
Y -3.527 4.507 6.914
Y -3.333 4.194 10.484
Y 0.786 -4.490 -1.344
Y -2.630 -1.279 2.746
```